# Rb2LaAs2

A geometry-optimized Rb2LaAs2 structure (PBE, Alexandria via LeMat-Bulk).

Results
VASP energy	-3.703	eV per atom
energy relative to the elements	-471	meV/atom
crystal system	tetragonal

a b c (Å): 7.776 7.776 5.885
angles (deg): 90.00 90.00 90.00
Each line ends with the local moment (μB).
Atoms (fractional coordinates):
Rb 0.166 0.666 0.500  0.01
As 0.616 0.116 0.000  0.00
La 0.000 0.000 0.000  0.05
As 0.384 0.884 0.000  0.00
La 0.500 0.500 0.000  0.05
As 0.884 0.616 0.000  0.00
Rb 0.834 0.334 0.500  0.01
As 0.116 0.384 0.000  0.00
Rb 0.334 0.166 0.500  0.01
Rb 0.666 0.834 0.500  0.01

# PmPb5Se6

A geometry-optimized PmPb5Se6 structure (PBE, Alexandria via LeMat-Bulk).

Results
VASP energy	-4.454	eV per atom
crystal system	monoclinic

a b c (Å): 7.456 7.783 7.605
angles (deg): 59.22 80.43 71.04
Atoms (fractional coordinates):
Pb 0.000 0.667 0.666
Pb 0.000 0.333 0.334
Pm 0.000 0.000 0.000
Pb 0.500 0.500 0.000
Se 0.240 0.601 0.321
Se 0.249 0.235 0.000
Se 0.751 0.765 0.000
Se 0.240 0.922 0.679
Se 0.760 0.399 0.679
Pb 0.500 0.166 0.668
Pb 0.500 0.834 0.332
Se 0.760 0.078 0.321

# PmMo6S8

A geometry-optimized PmMo6S8 structure (PBE, Alexandria via LeMat-Bulk).

Results
VASP energy	-7.770	eV per atom
crystal system	trigonal

a b c (Å): 6.529 6.529 6.529
angles (deg): 89.02 89.02 89.02
Atoms (fractional coordinates):
Mo 0.775 0.580 0.438
S 0.872 0.249 0.628
Mo 0.562 0.225 0.420
S 0.128 0.751 0.372
S 0.249 0.628 0.872
Mo 0.438 0.775 0.580
Mo 0.420 0.562 0.225
S 0.751 0.372 0.128
S 0.758 0.758 0.758
S 0.242 0.242 0.242
Mo 0.580 0.438 0.775
Pm 0.000 0.000 0.000
S 0.628 0.872 0.249
Mo 0.225 0.420 0.562
S 0.372 0.128 0.751

# Pm2SbTe

A geometry-optimized Pm2SbTe structure (PBE, Alexandria via LeMat-Bulk).

Results
VASP energy	-5.279	eV per atom
polymorph energy (0 for the lowest one)	1.02	eV/f.u.
crystal system	tetragonal

a b c (Å): 3.796 5.528 5.528
angles (deg): 90.00 90.00 90.00
Each line ends with the local moment (μB).
Atoms (fractional coordinates):
Pm 0.000 0.500 0.000  0.18
Sb 0.500 0.500 0.500  -0.01
Pm 0.000 0.000 0.500  0.18
Te 0.500 0.000 0.000  -0.01

# SbTe3Pd2

A geometry-optimized SbTe3Pd2 structure (PBE, Alexandria via LeMat-Bulk).

Results
VASP energy	-4.304	eV per atom
crystal system	monoclinic

a b c (Å): 8.219 8.219 5.107
angles (deg): 90.06 90.06 60.00
Atoms (fractional coordinates):
Sb 0.334 0.334 0.282
Sb 0.666 0.666 0.718
Te 0.171 0.171 0.737
Te 0.171 0.657 0.737
Pd 0.000 0.500 0.000
Pd 0.500 0.000 0.000
Te 0.343 0.829 0.263
Pd 0.000 0.000 0.000
Te 0.829 0.343 0.263
Te 0.657 0.171 0.737
Pd 0.500 0.500 0.000
Te 0.829 0.829 0.263

# Ga5Sb3O12

A geometry-optimized Ga5Sb3O12 structure (PBE, Alexandria via LeMat-Bulk).

Results
VASP energy	-5.888	eV per atom
crystal system	cubic

a b c (Å): 10.870 10.870 10.870
angles (deg): 109.47 109.47 109.47
Atoms (fractional coordinates):
O 0.798 0.476 0.380
Ga 0.500 0.500 0.500
O 0.418 0.298 0.322
Ga 0.375 0.125 0.750
Ga 0.875 0.250 0.625
Sb 0.625 0.375 0.750
O 0.476 0.678 0.096
O 0.678 0.202 0.582
Ga 0.000 0.000 0.000
O 0.918 0.096 0.620
Sb 0.875 0.750 0.125
O 0.024 0.404 0.822
O 0.822 0.904 0.024
O 0.904 0.822 0.524
O 0.798 0.322 0.918
O 0.678 0.476 0.596
O 0.322 0.524 0.404
Ga 0.125 0.375 0.250
O 0.418 0.120 0.596
Sb 0.250 0.625 0.875
O 0.596 0.976 0.678
O 0.120 0.702 0.524
O 0.918 0.822 0.798
O 0.202 0.678 0.082
O 0.476 0.798 0.880
O 0.178 0.082 0.702
Sb 0.375 0.625 0.250
Sb 0.375 0.750 0.625
Ga 0.500 0.500 0.000
O 0.582 0.880 0.404
O 0.380 0.404 0.082
Ga 0.875 0.625 0.750
O 0.524 0.322 0.904
O 0.976 0.596 0.178
Ga 0.625 0.750 0.875
Ga 0.000 0.500 0.000
Ga 0.000 0.500 0.500
O 0.380 0.976 0.798
Ga 0.750 0.625 0.375
Sb 0.875 0.125 0.250
Ga 0.250 0.875 0.125
O 0.880 0.298 0.476
Ga 0.250 0.375 0.625
O 0.620 0.596 0.918
O 0.404 0.380 0.582
Ga 0.000 0.000 0.500
O 0.702 0.120 0.024
Sb 0.125 0.875 0.750
O 0.178 0.096 0.976
O 0.976 0.380 0.298
O 0.596 0.620 0.418
O 0.880 0.582 0.904
O 0.024 0.620 0.702
O 0.582 0.702 0.678
O 0.082 0.178 0.202
Ga 0.125 0.750 0.375
O 0.096 0.918 0.120
Sb 0.750 0.875 0.625
Ga 0.625 0.875 0.250
O 0.822 0.918 0.298
O 0.298 0.418 0.822
Ga 0.500 0.000 0.000
Sb 0.125 0.250 0.875
O 0.702 0.582 0.178
Ga 0.750 0.125 0.875
O 0.322 0.798 0.418
O 0.524 0.202 0.120
O 0.202 0.524 0.620
Ga 0.500 0.000 0.500
O 0.298 0.880 0.976
Sb 0.750 0.375 0.125
Sb 0.250 0.125 0.375
O 0.904 0.082 0.880
O 0.120 0.418 0.096
O 0.620 0.024 0.202
O 0.404 0.024 0.322
O 0.082 0.904 0.380
Ga 0.375 0.250 0.125
Sb 0.625 0.250 0.375
O 0.096 0.178 0.476

Question: What is the VASP energy in the first record?
Answer: -3.703 eV per atom

Question: Which of these has the lowest VASP energy?
Answer: PmMo6S8

What did the first record say?
# Rb2LaAs2

A geometry-optimized Rb2LaAs2 structure (PBE, Alexandria via LeMat-Bulk).

Results
VASP energy	-3.703	eV per atom
energy relative to the elements	-471	meV/atom
crystal system	tetragonal

a b c (Å): 7.776 7.776 5.885
angles (deg): 90.00 90.00 90.00
Each line ends with the local moment (μB).
Atoms (fractional coordinates):
Rb 0.166 0.666 0.500  0.01
As 0.616 0.116 0.000  0.00
La 0.000 0.000 0.000  0.05
As 0.384 0.884 0.000  0.00
La 0.500 0.500 0.000  0.05
As 0.884 0.616 0.000  0.00
Rb 0.834 0.334 0.500  0.01
As 0.116 0.384 0.000  0.00
Rb 0.334 0.166 0.500  0.01
Rb 0.666 0.834 0.500  0.01

Question: The highest VASP energy belongs to which entry?
Answer: Rb2LaAs2